# 1
# Sc3Cd12Hg

Crystalline Sc3Cd12Hg at its relaxed geometry (GGA-PBE, Alexandria via LeMat-Bulk).

Geometry as POSCAR:
```
Sc3Cd12Hg
1.0
4.503 0.000 0.000
0.000 4.503 0.000
0.000 0.000 17.411
Cd Hg Sc
12 1 3
Cartesian
2.251 0.000 10.880
2.251 2.251 13.065
2.251 0.000 2.192
2.251 2.251 8.705
0.000 2.251 2.192
2.251 2.251 0.000
2.251 0.000 15.219
0.000 2.251 6.531
2.251 2.251 4.346
0.000 2.251 15.219
2.251 0.000 6.531
0.000 2.251 10.880
0.000 0.000 0.000
0.000 0.000 4.324
0.000 0.000 13.087
0.000 0.000 8.705
```



# 2
# ScCdHg2

Crystalline ScCdHg2 at its relaxed geometry (GGA-PBE, Alexandria via LeMat-Bulk).

Geometry as POSCAR:
```
ScCdHg2
1.0
-0.641 5.707 0.143
-1.332 2.448 -5.024
-1.888 -4.123 3.527
Cd Hg Sc
1 2 1
Cartesian
-2.104 1.202 -1.969
-1.754 2.812 0.626
-1.967 8.128 -4.865
-0.998 4.123 -2.467
```



# 3
# ScCd4Hg7

Crystalline ScCd4Hg7 at its relaxed geometry (GGA-PBE, Alexandria via LeMat-Bulk).

Geometry as POSCAR:
```
ScCd4Hg7
1.0
-1.703 -4.389 3.909
5.649 -6.609 -0.170
3.257 -0.152 6.037
Hg Cd Sc
7 4 1
Cartesian
6.874 -7.743 3.880
1.171 -5.527 3.884
0.330 -3.407 5.897
2.367 -6.682 7.897
6.032 -5.623 5.893
-0.851 -2.195 1.955
4.836 -4.468 1.880
5.222 -7.866 7.811
3.958 -6.660 3.826
3.246 -4.490 5.951
1.981 -3.284 1.965
0.000 0.000 0.000
```



# 4
# ScCd2Hg5

Crystalline ScCd2Hg5 at its relaxed geometry (GGA-PBE, Alexandria via LeMat-Bulk).

Geometry as POSCAR:
```
ScCd2Hg5
1.0
-2.109 4.185 -1.686
-1.050 -5.580 -5.182
-9.901 -2.917 5.147
Hg Sc Cd
10 2 4
Cartesian
-6.224 -3.694 -1.384
-8.947 -4.708 -0.493
-1.458 -2.290 -3.862
-6.836 -0.617 -0.336
-8.948 -2.733 -2.947
-11.683 -3.539 -1.526
-1.377 -0.773 -0.195
-4.114 0.396 -1.227
-11.603 -2.021 2.141
-4.112 -1.578 1.227
-9.544 -1.857 -0.026
-3.517 -2.455 -1.694
-6.813 -2.797 1.581
-9.198 -3.500 2.820
-3.862 -0.812 -4.541
-6.247 -1.514 -3.301
```



# 5
# ScCd2Hg6

Crystalline ScCd2Hg6 at its relaxed geometry (GGA-PBE, Alexandria via LeMat-Bulk).

Geometry as POSCAR:
```
ScCd2Hg6
1.0
3.485 0.000 0.000
0.000 8.541 0.000
0.000 -4.270 7.403
Hg Sc Cd
6 1 2
Cartesian
0.000 7.326 2.104
1.742 5.380 0.000
1.742 1.579 2.738
0.000 3.055 5.299
1.742 -2.691 4.665
0.000 2.432 0.000
1.742 0.002 0.000
0.000 0.000 4.933
0.000 4.270 2.470
```



# 6
# Sc2CdHg2

Crystalline Sc2CdHg2 at its relaxed geometry (GGA-PBE, Alexandria via LeMat-Bulk).

Geometry as POSCAR:
```
Sc2CdHg2
1.0
-6.400 -1.161 4.794
-3.155 -5.074 -5.440
1.695 -2.762 1.594
Cd Sc Hg
2 4 4
Cartesian
-4.777 -3.117 -0.323
0.000 0.000 0.000
-7.483 -4.293 0.516
-2.071 -1.941 -1.162
-4.900 -4.705 -2.945
-4.654 -1.529 2.299
-5.738 -4.170 2.965
-5.980 -6.465 -0.755
-1.880 -2.531 1.703
-2.122 -4.826 -2.017
```



Energy of formation from the pure elements readings, ordered: -0.145 -0.163 -0.001 -0.019 -0.060 -0.181 eV/atom